(1)
CaSiIr | PBE | relaxed

Cell lengths 5.9008, 5.9008, 5.9008 Å; angles 150.04, 147.38, 44.87 degrees
Positions (direct):
Ir 0.7031 0.7031 0.0000
Si 0.2970 0.2970 0.0000
Ca 0.9999 0.9999 0.0000

Computed properties:
formation energy without anion corrections: -0.545 eV per atom
density of states at the Fermi level: 1.32 states/eV per cell
magnetization: 0.00 μB per formula unit

(2)
TaMoCN | PBE | relaxed

Cell lengths 2.8909, 2.9042, 5.5237 Å; angles 105.24, 105.17, 90.00 degrees
Positions (direct):
N 0.4096 0.9096 0.8193
C 0.6614 0.6614 0.3227
Ta 0.8291 0.3291 0.6581
Mo 0.0791 0.0791 0.1581

Computed properties:
formation energy without anion corrections: -0.581 eV per atom
density of states at the Fermi level: 0.34 states/eV per cell
magnetization: 0.00 μB per formula unit

(3)
LaNd2Ho2Er | PBE | relaxed

Cell lengths 5.6870, 9.9191, 7.0573 Å; angles 90.00, 90.00, 90.00 degrees
Positions (direct):
La 0.5000 0.5000 0.5000
Nd 0.0000 0.6669 0.7534
Nd 0.5000 0.8331 0.2534
Ho 0.0000 0.6664 0.2493
Nd 0.5000 0.1669 0.7466
Ho 0.5000 0.8336 0.7493
Ho 0.5000 0.1664 0.2507
Nd 0.0000 0.3331 0.2466
Er 0.0000 0.0000 0.5000
Er 0.5000 0.5000 0.0000
La 0.0000 0.0000 0.0000
Ho 0.0000 0.3336 0.7507

Computed properties:
density of states at the Fermi level: 17.85 states/eV per cell
energy of formation from the pure elements: 62 meV per atom
magnetization: 0.00 μB per formula unit

(4)
ReBrF3 | PBE | relaxed

Cell lengths 6.0862, 6.4383, 6.4383 Å; angles 74.76, 61.79, 61.79 degrees
Positions (direct):
F 0.2757 0.2469 0.7531
Br 0.7833 0.2167 0.2167
Br 0.2167 0.7833 0.7833
F 0.7020 0.7980 0.7980
Re 0.7001 0.0000 0.0000
F 0.7243 0.7531 0.2469
F 0.2980 0.2020 0.2020
F 0.2757 0.7531 0.2469
Re 0.2999 0.0000 0.0000
F 0.7243 0.2469 0.7531

Computed properties:
formation energy without anion corrections: -1.458 eV per atom
density of states at the Fermi level: 0.46 states/eV per cell
magnetization: 1.00 μB per formula unit

(5)
DyNiAu | PBE | relaxed

Cell lengths 5.3382, 6.1725, 7.4326 Å; angles 111.34, 90.00, 90.00 degrees
Positions (direct):
Dy 0.8837 0.3106 0.1255
Dy 0.1163 0.6894 0.8745
Au 0.4076 0.0909 0.2055
Ni 0.3786 0.3369 0.9826
Ni 0.6214 0.6631 0.0174
Ni 0.1214 0.3369 0.4826
Dy 0.6163 0.3106 0.6255
Au 0.5924 0.9091 0.7945
Au 0.0924 0.0909 0.7055
Dy 0.3837 0.6894 0.3745
Ni 0.8786 0.6631 0.5174
Au 0.9076 0.9091 0.2945

Computed properties:
density of states at the Fermi level: 8.49 states/eV per cell
energy of formation from the pure elements: -616 meV per atom
magnetization: 0.00 μB per formula unit

(6)
Na12Cu3O5 | PBE | relaxed

Cell lengths 13.0506, 13.0506, 13.0506 Å; angles 109.47, 109.47, 109.47 degrees
Positions (direct):
Na 0.6855 0.1023 0.0053
Na 0.9947 0.5970 0.1803
Na 0.6803 0.1855 0.5832
Na 0.8977 0.5832 0.9030
Cu 0.7500 0.3750 0.1250
Na 0.1855 0.6803 0.0832
Na 0.5053 0.1855 0.1023
Na 0.8197 0.9030 0.0053
Na 0.6023 0.5970 0.9168
Na 0.5970 0.6023 0.4168
Na 0.9168 0.0970 0.6023
Na 0.5970 0.9947 0.6803
Na 0.4030 0.0053 0.3197
Na 0.9030 0.0832 0.8977
O 0.5000 0.0000 0.0000
Na 0.0832 0.9030 0.3977
O 0.5000 0.5000 0.0000
Na 0.5053 0.3197 0.9030
Na 0.9168 0.8197 0.8145
Na 0.1023 0.4168 0.0970
Cu 0.6250 0.2500 0.3750
Na 0.9947 0.3977 0.3145
Na 0.3977 0.4030 0.0832
O 0.5000 0.5000 0.5000
O 0.2500 0.8750 0.1250
Na 0.1023 0.6855 0.5053
O 0.0000 0.0000 0.5000
O 0.0000 0.5000 0.5000
Na 0.8197 0.9168 0.3145
Na 0.9030 0.8197 0.5053
O 0.7500 0.1250 0.8750
Na 0.5832 0.8977 0.4030
Na 0.0053 0.6023 0.6855
O 0.3750 0.2500 0.1250
Cu 0.2500 0.1250 0.3750
O 0.8750 0.2500 0.6250
Na 0.8145 0.4947 0.3977
Cu 0.1250 0.2500 0.8750
Cu 0.3750 0.7500 0.6250
Na 0.4030 0.3977 0.5832
Na 0.5832 0.6855 0.6803
O 0.7500 0.6250 0.3750
O 0.5000 0.0000 0.5000
Cu 0.6250 0.3750 0.7500
Na 0.3197 0.8145 0.4168
Na 0.6023 0.0053 0.1855
Na 0.6803 0.4947 0.5970
Na 0.3977 0.9947 0.8145
Na 0.0970 0.1803 0.4947
Na 0.0832 0.1803 0.1855
Na 0.4168 0.3145 0.3197
Cu 0.1250 0.8750 0.7500
O 0.1250 0.3750 0.2500
Na 0.6855 0.5832 0.1803
Na 0.4168 0.1023 0.5970
O 0.3750 0.1250 0.7500
Na 0.3145 0.8977 0.9947
Na 0.4947 0.8145 0.8977
Na 0.8145 0.3197 0.9168
Na 0.4947 0.6803 0.0970
Cu 0.8750 0.7500 0.1250
Cu 0.2500 0.6250 0.8750
Na 0.3197 0.5053 0.4030
Na 0.1855 0.5053 0.6023
O 0.2500 0.3750 0.6250
Na 0.1803 0.0832 0.6855
O 0.0000 0.0000 0.0000
Cu 0.7500 0.8750 0.6250
O 0.1250 0.7500 0.3750
O 0.6250 0.8750 0.2500
Na 0.0053 0.4030 0.8197
Cu 0.3750 0.6250 0.2500
Na 0.8977 0.3145 0.4947
Na 0.0970 0.9168 0.1023
Na 0.1803 0.0970 0.9947
O 0.6250 0.7500 0.8750
O 0.0000 0.5000 0.0000
Na 0.3145 0.4168 0.8197
O 0.8750 0.6250 0.7500
Cu 0.8750 0.1250 0.2500

Computed properties:
formation energy without anion corrections: -0.567 eV per atom
density of states at the Fermi level: 28.90 states/eV per cell
magnetization: 1.12 μB per formula unit

(7)
Os2RuCl | PBE | relaxed

Cell lengths 4.3864, 4.3864, 4.3864 Å; angles 120.23, 120.23, 89.60 degrees
Positions (direct):
Os 0.2500 0.7500 0.5000
Ru 0.5000 0.5000 0.0000
Os 0.0000 0.0000 0.0000
Cl 0.7500 0.2500 0.5000

Computed properties:
formation energy without anion corrections: 1.182 eV per atom
density of states at the Fermi level: 5.19 states/eV per cell
magnetization: 0.00 μB per formula unit

(8)
LiLaTc | PBE | relaxed

Cell lengths 4.5732, 4.5732, 4.5732 Å; angles 60.00, 60.00, 60.00 degrees
Positions (direct):
Li 0.0000 0.0000 0.0000
Tc 0.5000 0.5000 0.5000
La 0.7500 0.7500 0.7500

Computed properties:
density of states at the Fermi level: 4.17 states/eV per cell
energy of formation from the pure elements: 990 meV per atom
magnetization: 0.87 μB per formula unit